1.
SiNi6Mo (PBEsol, optimized geometry); volume = 350 Å³ per cell; M_tot = 0.0 μB per formula unit; space-group type = Cmmm (65); calculated total energy = -7.043 eV/atom; DOS at the Fermi energy = 1.0625 states/eV/atom
1.0
6.108 -0.002 0.000
-2.056 5.751 0.000
0.000 0.000 9.977
Mo Ni Si
4 24 4
Direct
0.256 0.744 0.000
0.744 0.256 0.000
0.500 0.500 0.745
0.500 0.500 0.255
0.249 0.751 0.748
0.878 0.630 0.872
0.122 0.370 0.872
0.751 0.249 0.748
0.370 0.122 0.872
0.630 0.878 0.872
0.500 0.500 0.500
0.122 0.373 0.623
0.373 0.122 0.623
0.249 0.751 0.252
0.878 0.627 0.377
0.122 0.373 0.377
0.751 0.249 0.252
0.373 0.122 0.377
0.627 0.878 0.377
0.500 0.500 0.000
0.122 0.370 0.128
0.370 0.122 0.128
0.000 0.000 0.500
0.627 0.878 0.623
0.878 0.627 0.623
0.000 0.000 0.000
0.630 0.878 0.128
0.878 0.630 0.128
0.256 0.744 0.500
0.744 0.256 0.500
0.000 0.000 0.746
0.000 0.000 0.254

---

2.
Ni2IrAu (PBEsol, optimized geometry); volume = 52 Å³ per cell; M_tot = 0.0 μB per formula unit; energy of formation = 0.24 eV per formula unit; E above lowest polymorph = 0 meV per atom; space-group type = P4/mmm (123); calculated total energy = -6.456 eV/atom; DOS at the Fermi energy = 1.4921 states/eV/atom
1.0
2.692 0.000 0.000
0.000 2.692 0.000
0.000 0.000 7.161
Ni Ir Au
2 1 1
Direct
0.000 0.000 0.735
0.000 0.000 0.265
0.500 0.500 0.500
0.500 0.500 0.000